Compound: TbErZn6
Source: Alexandria
Functional: GGA-PBE
Structure: optimized geometry

Properties
D(E_F) ... 6.3 states/eV per cell
E_form ... -2.501 eV/f.u.

a b c (Å): 4.4005 6.5591 10.3462
angles (deg): 90.00 90.00 90.00
Atoms (fractional coordinates):
1 Tb 0.0000 0.0000 0.0000
2 Tb 0.0000 0.5000 0.5000
3 Er 0.5000 0.0000 0.7087
4 Er 0.5000 0.5000 0.2087
5 Zn 0.0000 0.0000 0.5164
6 Zn 0.0000 0.2066 0.2686
7 Zn 0.0000 0.2934 0.7686
8 Zn 0.0000 0.5000 0.0164
9 Zn 0.0000 0.7066 0.7686
10 Zn 0.0000 0.7934 0.2686
11 Zn 0.5000 0.0000 0.1947
12 Zn 0.5000 0.2049 0.4399
13 Zn 0.5000 0.2951 0.9399
14 Zn 0.5000 0.5000 0.6947
15 Zn 0.5000 0.7049 0.9399
16 Zn 0.5000 0.7951 0.4399